# 1
Compound: Zr2InP
Source: Alexandria
Functional: PBE
Structure: relaxed

abc: 3.5474 3.5474 7.4212
angles: 90.00 90.00 90.00
Closest atoms and distances in Å follow each position.
Element x y z (fractional)
Zr 0.0000 0.0000 0.9475  4 P 2.59
Zr 0.5000 0.5000 0.2241  1 P 2.71
In 0.0000 0.0000 0.4697  4 Zr 3.10
P 0.5000 0.5000 0.8588  5 Zr 2.59-2.71

electronic total energy: -27.06 eV/cell
total magnetization: 0.00 μB/f.u.
relative energy among the computed polymorphs: 1.59 eV/f.u.
ΔE_f: -1.812 eV per formula unit

# 2
Compound: CdAuBr2
Source: Alexandria
Functional: PBE
Structure: relaxed

abc: 4.2504 4.2504 7.8968
angles: 90.00 90.00 123.12
Closest atoms and distances in Å follow each position.
Element x y z (fractional)
Cd 0.5000 0.5000 0.2500  4 Br 2.90
Br 0.0000 0.0000 0.5125  2 Au 2.76, 2 Cd 2.90
Br 0.0000 0.0000 0.9875  2 Au 2.76, 2 Cd 2.90
Au 0.5000 0.5000 0.7500  4 Br 2.76

electronic total energy: -7.83 eV/cell
total magnetization: 0.00 μB/f.u.
relative energy among the computed polymorphs: 0.76 eV/f.u.
E_form (uncorrected): -1.7 kcal/mol of atoms

# 3
Compound: Na2Be2O3
Source: Alexandria
Functional: PBE
Structure: relaxed

abc: 7.1241 4.9574 5.7887
angles: 71.11 90.00 90.00
Closest atoms and distances in Å follow each position.
Element x y z (fractional)
O 0.9409 0.5787 0.7904  2 Be 1.57-1.58
O 0.0000 0.0000 0.0000  2 Be 1.50
O 0.0591 0.4213 0.2096  2 Be 1.57-1.58
O 0.5591 0.5787 0.2904  2 Be 1.57-1.58
O 0.5000 0.0000 0.5000  2 Be 1.50
O 0.4409 0.4213 0.7096  2 Be 1.57-1.58
Na 0.1367 0.2611 0.6103  3 O 2.26-2.44
Na 0.8633 0.7389 0.3897  3 O 2.26-2.44
Na 0.3633 0.2611 0.1103  3 O 2.26-2.44
Na 0.6367 0.7389 0.8897  3 O 2.26-2.44
Be 0.0176 0.7021 0.9903  3 O 1.50-1.58
Be 0.4824 0.7021 0.4903  3 O 1.50-1.58
Be 0.9824 0.2979 0.0097  3 O 1.50-1.58
Be 0.5176 0.2979 0.5097  3 O 1.50-1.58

electronic total energy: -78.71 eV/cell
total magnetization: 0.00 μB/f.u.
relative energy among the computed polymorphs: 0.49 eV/f.u.
E_form (uncorrected): -47.4 kcal/mol of atoms

# 4
Compound: ScPd2Au5
Source: Alexandria
Functional: PBE
Structure: relaxed

abc: 6.1156 4.0990 15.2738
angles: 113.83 59.66 109.60
Closest atoms and distances in Å follow each position.
Element x y z (fractional)
Au 0.9172 0.8392 0.5876  3 Pd 2.76-2.92, 6 Au 2.87-3.02, 2 Sc 2.88
Au 0.3992 0.8378 0.0920  6 Au 2.78-3.10, 3 Pd 2.81-2.95, 2 Sc 2.88
Au 0.4363 0.8341 0.4101  4 Pd 2.79-3.02, 6 Au 2.88-2.96, 1 Sc 2.95
Au 0.0826 0.1642 0.0822  5 Au 2.76-2.93, 1 Sc 2.82, 4 Pd 2.83-2.99
Au 0.0828 0.1608 0.4124  3 Pd 2.76-2.92, 6 Au 2.87-3.02, 2 Sc 2.88
Au 0.6008 0.1622 0.9080  6 Au 2.78-3.10, 3 Pd 2.81-2.95, 2 Sc 2.88
Au 0.4002 0.8250 0.7504  5 Au 2.76-2.89, 3 Pd 2.82-2.88, 2 Sc 2.97
Au 0.5998 0.1750 0.2496  5 Au 2.76-2.89, 3 Pd 2.82-2.88, 2 Sc 2.97
Au 0.5637 0.1659 0.5899  4 Pd 2.79-3.02, 6 Au 2.88-2.96, 1 Sc 2.95
Au 0.9174 0.8358 0.9178  5 Au 2.76-2.93, 1 Sc 2.82, 4 Pd 2.83-2.99
Pd 0.2636 0.4978 0.9106  9 Au 2.81-2.99, 1 Sc 2.86, 1 Pd 2.99
Pd 0.7590 0.5027 0.4147  1 Sc 2.66, 6 Au 2.76-2.92, 1 Pd 2.91
Pd 0.7364 0.5022 0.0894  9 Au 2.81-2.99, 1 Sc 2.86, 1 Pd 2.99
Pd 0.2410 0.4973 0.5853  1 Sc 2.66, 6 Au 2.76-2.92, 1 Pd 2.91
Sc 0.2228 0.4908 0.2524  2 Pd 2.66-2.86, 8 Au 2.82-2.97
Sc 0.7772 0.5092 0.7476  2 Pd 2.66-2.86, 8 Au 2.82-2.97

electronic total energy: -71.21 eV/cell
total magnetization: 0.00 μB/f.u.
ΔE_f: -2.502 eV per formula unit

# 5
Compound: BeIr2Rh
Source: Alexandria
Functional: PBE
Structure: relaxed

abc: 2.7274 3.6448 5.3470
angles: 90.00 90.00 90.00
Closest atoms and distances in Å follow each position.
Element x y z (fractional)
Ir 0.0000 0.0000 0.9870  4 Ir 2.54-2.81, 4 Be 2.61, 4 Rh 2.68
Ir 0.0000 0.0000 0.5130  4 Ir 2.54-2.81, 4 Be 2.61, 4 Rh 2.68
Be 0.5000 0.5000 0.7500  8 Ir 2.61, 2 Rh 2.67, 2 Be 2.73
Rh 0.5000 0.5000 0.2500  2 Be 2.67, 8 Ir 2.68, 2 Rh 2.73

electronic total energy: -29.00 eV/cell
total magnetization: 0.00 μB/f.u.
ΔE_f: -0.205 eV per formula unit

# 6
Compound: Ba2PaAlSe6
Source: Alexandria
Functional: PBE
Structure: relaxed

abc: 7.3504 7.4864 10.4922
angles: 90.00 90.26 90.00
Closest atoms and distances in Å follow each position.
Element x y z (fractional)
Se 0.7988 0.7815 0.9661  1 Al 2.60, 1 Pa 2.76
Se 0.5647 0.0030 0.2589  1 Al 2.58, 1 Pa 2.76
Se 0.2177 0.2007 0.4667  1 Al 2.58, 1 Pa 2.78
Se 0.9353 0.5030 0.2411  1 Al 2.58, 1 Pa 2.76
Se 0.7012 0.2815 0.5339  1 Al 2.60, 1 Pa 2.76
Se 0.0647 0.4970 0.7589  1 Al 2.58, 1 Pa 2.76
Se 0.7177 0.2993 0.9667  1 Al 2.58, 1 Pa 2.78
Se 0.2988 0.7185 0.4661  1 Al 2.60, 1 Pa 2.76
Se 0.2012 0.2185 0.0339  1 Al 2.60, 1 Pa 2.76
Se 0.2823 0.7007 0.0333  1 Al 2.58, 1 Pa 2.78
Se 0.4353 0.9970 0.7411  1 Al 2.58, 1 Pa 2.76
Se 0.7823 0.7993 0.5333  1 Al 2.58, 1 Pa 2.78
Al 0.0000 0.5000 0.0000  6 Se 2.58-2.60
Al 0.5000 0.0000 0.5000  6 Se 2.58-2.60
Ba 0.5142 0.5547 0.7476  8 Se 3.33-3.62
Ba 0.4858 0.4453 0.2524  8 Se 3.33-3.62
Ba 0.0142 0.9453 0.2476  8 Se 3.33-3.62
Ba 0.9858 0.0547 0.7524  8 Se 3.33-3.62
Pa 0.0000 0.5000 0.5000  6 Se 2.76-2.78
Pa 0.5000 0.0000 0.0000  6 Se 2.76-2.78

electronic total energy: -106.35 eV/cell
total magnetization: 0.00 μB/f.u.
E_form (uncorrected): -35.0 kcal/mol of atoms

# 7
Compound: Mg2Si4Ir5
Source: Alexandria
Functional: PBE
Structure: relaxed

abc: 5.5910 5.4998 7.5534
angles: 79.16 68.28 59.45
Closest atoms and distances in Å follow each position.
Element x y z (fractional)
Si 0.4762 0.3107 0.7368  5 Ir 2.35-2.48
Si 0.7870 0.6893 0.7368  5 Ir 2.35-2.48
Si 0.5238 0.6893 0.2632  5 Ir 2.35-2.48
Si 0.2130 0.3107 0.2632  5 Ir 2.35-2.48
Ir 0.0000 0.5000 0.0000  4 Si 2.48, 2 Ir 2.75
Ir 0.5000 0.5000 0.0000  4 Si 2.48, 2 Ir 2.75
Ir 0.5000 0.0000 0.0000  4 Si 2.36
Ir 0.7500 0.5000 0.5000  4 Si 2.35
Ir 0.2500 0.5000 0.5000  4 Si 2.35
Mg 0.8935 0.0000 0.2129  1 Mg 2.99, 6 Ir 3.13-3.17, 6 Si 3.18-3.28
Mg 0.1065 0.0000 0.7871  1 Mg 2.99, 6 Ir 3.13-3.17, 6 Si 3.18-3.28

electronic total energy: -74.64 eV/cell
total magnetization: 0.00 μB/f.u.
E_form (uncorrected): -11.4 kcal/mol of atoms

# 8
Compound: CaTb3Th
Source: Alexandria
Functional: PBE
Structure: relaxed

abc: 6.2308 6.7799 9.5963
angles: 69.31 90.00 90.00
Closest atoms and distances in Å follow each position.
Element x y z (fractional)
Th 0.2500 0.4572 0.0855  2 Th 3.47, 10 Tb 3.49-3.84
Th 0.7500 0.5428 0.9145  2 Th 3.47, 10 Tb 3.49-3.84
Tb 0.2500 0.3944 0.7396  3 Tb 3.20-3.33, 1 Th 3.49
Tb 0.7500 0.6056 0.2604  3 Tb 3.20-3.33, 1 Th 3.49
Tb 0.2500 0.8659 0.7396  3 Tb 3.20-3.33, 1 Th 3.49
Tb 0.0000 0.0000 0.0000  6 Tb 3.12-3.33
Tb 0.5000 0.0000 0.0000  6 Tb 3.12-3.33
Tb 0.7500 0.1341 0.2604  3 Tb 3.20-3.33, 1 Th 3.49
Ca 0.7500 0.1876 0.6247  8 Tb 3.64-3.74
Ca 0.2500 0.8124 0.3753  8 Tb 3.64-3.74

electronic total energy: -42.93 eV/cell
total magnetization: 0.00 μB/f.u.
ΔE_f: 1.847 eV per formula unit